DFT (PBE-GGA) results for a relaxed structure of Zn2Cu12Rh.

- energy of formation (eV per atom) = 0.2496
- energy (eV per atom) = -3.69
- symmetry = P4/nbm
- calculated density (g/cm3) = 8.01
- DOS at the Fermi energy (states/eV per atom) = 0.479
- total moment (μB/f.u.) = 0.00

Cell: 4.812 4.812 17.835 Å, 90.00 90.00 90.00°
Atoms (fractional coordinates):
Cu 0.750 0.250 0.108
Cu 0.250 0.250 0.892
Cu 0.250 0.250 0.108
Cu 0.000 0.000 0.659
Cu 0.824 0.324 0.561
Cu 0.250 0.750 0.108
Cu 0.750 0.750 0.108
Zn 0.500 0.000 0.727
Cu 0.000 0.000 0.209
Cu 0.676 0.176 0.439
Cu 0.176 0.324 0.439
Cu 0.500 0.500 0.659
Cu 0.000 0.000 0.341
Zn 0.000 0.500 0.727
Zn 0.500 0.000 0.273
Zn 0.000 0.500 0.273
Cu 0.250 0.750 0.892
Cu 0.676 0.824 0.561
Cu 0.750 0.250 0.892
Rh 0.000 0.500 0.000
Cu 0.750 0.750 0.892
Cu 0.500 0.500 0.209
Cu 0.500 0.500 0.341
Cu 0.000 0.000 0.791
Rh 0.500 0.000 0.000
Cu 0.176 0.676 0.561
Cu 0.324 0.176 0.561
Cu 0.324 0.824 0.439
Cu 0.500 0.500 0.791
Cu 0.824 0.676 0.439